Material: Tm7Bi2Pt2
Method: DFT, GGA-PBE
State: relaxed

Properties
**Polymorph energy (0 for the lowest one)**: 14.38 kJ per mole of atoms
**Volume**: 657 Å³/cell
**ΔE_f**: -0.65 eV per atom

Cell: 8.803 10.592 7.052 Å, 90.00 90.00 90.00°
Space group Cmmm (No. 65)
Asymmetric unit:
Tm (0.000, 0.000, 0.000)
Tm (0.000, 0.500, 0.233)
Tm (0.250, 0.250, 0.240)
Bi (0.201, 0.000, 0.500)
Pt (0.000, 0.279, 0.000)